# VIr6Os PBE-GGA relaxed
data_VIr6Os
_chemical_formula_sum 'V1 Ir6 Os1'
_symmetry_space_group_name_H-M 'P 1'
_symmetry_Int_Tables_number 1
_symmetry_space_group_name_Hall 'P 1'
_cell_length_a 5.449
_cell_length_b 5.449
_cell_length_c 3.858
_cell_angle_alpha 90.00
_cell_angle_beta 90.00
_cell_angle_gamma 90.00
loop_
_atom_site_label
_atom_site_type_symbol
_atom_site_fract_x
_atom_site_fract_y
_atom_site_fract_z
V1 V 0.000 0.000 0.000
Ir1 Ir 0.000 0.500 0.000
Ir2 Ir 0.249 0.249 0.500
Ir3 Ir 0.249 0.751 0.500
Ir4 Ir 0.500 0.000 0.000
Ir5 Ir 0.751 0.249 0.500
Ir6 Ir 0.751 0.751 0.500
Os1 Os 0.500 0.500 0.000
# **Calculated density**: 20.2 Mg/m³
# **Formation energy from the elements**: -0.20 eV per atom
# **Spin magnetization**: 0.0001 μB per atom